# 1
A plane-wave DFT calculation with PBEsol was carried out for a relaxed Na2NiO2 crystal.

Results
DFT total energy   -4.940 eV per atom
Total magnetization   2.04 μB/f.u.
Uncorrected formation energy   -5.25 eV per formula unit

a = 4.4225 Å, b = 4.4225 Å, c = 5.7085 Å
α = 112.79°, β = 112.79°, γ = 90.00°
Site moments in Bohr magnetons follow the coordinates.
Element x y z (fractional)
Ni1 0.5000 0.5000 0.0000  1.31
O1 0.6764 0.6764 0.3528  0.32
O2 0.3236 0.3236 0.6472  0.32
Na1 0.2500 0.7500 0.5000  0.01
Na2 0.7500 0.2500 0.5000  0.01



# 2
A plane-wave DFT calculation with PBEsol was carried out for a relaxed Na3Ni2O5 crystal.

Results
DFT total energy   -5.431 eV per atom
Total magnetization   1.02 μB/f.u.
Uncorrected formation energy   -11.55 eV per formula unit

a = 5.2170 Å, b = 6.2280 Å, c = 6.8321 Å
α = 107.25°, β = 96.59°, γ = 107.08°
Site moments in Bohr magnetons follow the coordinates.
Element x y z (fractional)
Na1 0.6225 0.7119 0.2012  0.00
Na2 0.3775 0.2881 0.7988  0.00
Na3 0.2055 0.9050 0.3876  0.00
Na4 0.0000 0.5000 0.0000  0.00
Na5 0.0000 0.0000 0.0000  0.00
Na6 0.7945 0.0950 0.6124  0.00
Ni1 0.6019 0.2038 0.2031  0.10
Ni2 0.3981 0.7962 0.7969  0.10
Ni3 0.2020 0.4045 0.4047  0.60
Ni4 0.7980 0.5955 0.5953  0.60
O1 0.6511 0.1212 0.9206  0.01
O2 0.6725 0.6541 0.8490  0.02
O3 0.4773 0.7134 0.5239  0.11
O4 0.5227 0.2866 0.4761  0.11
O5 0.3489 0.8788 0.0794  0.01
O6 0.3275 0.3459 0.1510  0.02
O7 0.8815 0.5147 0.3229  0.11
O8 0.9023 0.1123 0.3077  0.02
O9 0.0977 0.8877 0.6923  0.02
O10 0.1185 0.4853 0.6771  0.11



# 3
A plane-wave DFT calculation with PBEsol was carried out for a relaxed Na6Ni7O14 crystal.

Results
DFT total energy   -5.736 eV per atom
Total magnetization   6.05 μB/f.u.
Uncorrected formation energy   -29.89 eV per formula unit

a = 6.8674 Å, b = 6.8674 Å, c = 6.8674 Å
α = 68.00°, β = 68.00°, γ = 68.00°
Site moments in Bohr magnetons follow the coordinates.
Element x y z (fractional)
Na1 0.7307 0.8586 0.4104  0.01
Na2 0.1414 0.5896 0.2693  0.01
Na3 0.4104 0.7307 0.8586  0.01
Na4 0.5896 0.2693 0.1414  0.01
Na5 0.8586 0.4104 0.7307  0.01
Na6 0.2693 0.1414 0.5896  0.01
Ni1 0.3606 0.9333 0.2126  0.65
Ni2 0.7874 0.6394 0.0667  0.65
Ni3 0.0667 0.7874 0.6394  0.65
Ni4 0.5000 0.5000 0.5000  0.29
Ni5 0.9333 0.2126 0.3606  0.65
Ni6 0.2126 0.3606 0.9333  0.65
Ni7 0.6394 0.0667 0.7874  0.65
O1 0.0655 0.9219 0.3397  0.04
O2 0.6603 0.9345 0.0781  0.04
O3 0.5006 0.6083 0.1993  0.10
O4 0.3917 0.8007 0.4994  0.10
O5 0.2403 0.2403 0.2403  0.31
O6 0.8007 0.4994 0.3917  0.10
O7 0.1993 0.5006 0.6083  0.10
O8 0.0781 0.6603 0.9345  0.04
O9 0.9219 0.3397 0.0655  0.04
O10 0.7597 0.7597 0.7597  0.31
O11 0.4994 0.3917 0.8007  0.10
O12 0.6083 0.1993 0.5006  0.10
O13 0.3397 0.0655 0.9219  0.04
O14 0.9345 0.0781 0.6603  0.04



# 4
A plane-wave DFT calculation with PBEsol was carried out for a relaxed Na4Ni9O18 crystal.

Results
DFT total energy   -6.035 eV per atom
Total magnetization   3.79 μB/f.u.
Uncorrected formation energy   -31.57 eV per formula unit

a = 7.0320 Å, b = 7.0025 Å, c = 7.4362 Å
α = 103.38°, β = 90.72°, γ = 105.54°
Site moments in Bohr magnetons follow the coordinates.
Element x y z (fractional)
Na1 0.0976 0.0963 0.6950  0.00
Na2 0.1959 0.1979 0.2960  0.01
Na3 0.5826 0.5806 0.3713  0.01
Na4 0.6798 0.6811 0.9715  0.00
Ni1 0.0595 0.5505 0.8324  0.26
Ni2 0.4977 0.0006 0.4993  0.16
Ni3 0.1667 0.6636 0.5010  0.63
Ni4 0.6112 0.1141 0.1657  0.63
Ni5 0.7183 0.2271 0.8343  0.26
Ni6 0.2799 0.7772 0.1673  0.16
Ni7 0.8312 0.3301 0.4999  0.15
Ni8 0.3888 0.8889 0.8333  0.18
Ni9 0.9466 0.4476 0.1666  0.15
O1 0.9901 0.3181 0.9266  0.05
O2 0.0950 0.4044 0.5933  0.12
O3 0.3438 0.0135 0.0751  0.04
O4 0.4459 0.1250 0.7389  0.04
O5 0.3318 0.6528 0.9277  0.04
O6 0.5613 0.2390 0.4043  0.02
O7 0.7635 0.0939 0.5942  0.01
O8 0.1210 0.7850 0.7401  0.02
O9 0.2166 0.5389 0.2623  0.02
O10 0.7877 0.4596 0.7400  0.05
O11 0.6828 0.3732 0.0733  0.12
O12 0.4339 0.7644 0.5917  0.04
O13 0.8778 0.2099 0.2566  0.04
O14 0.2346 0.9186 0.4047  0.11
O15 0.9001 0.5679 0.4100  0.04
O16 0.6566 0.9927 0.9265  0.02
O17 0.5431 0.8592 0.2619  0.11
O18 0.0142 0.6838 0.0724  0.01